# 1
Computed, not measured: crystalline Cd2TcPt at its relaxed geometry at the PBE level of DFT.

Structure (CIF):
```
data_Cd2TcPt
_cell_length_a 9.920
_cell_length_b 9.920
_cell_length_c 9.920
_cell_angle_alpha 16.76
_cell_angle_beta 16.76
_cell_angle_gamma 16.76
_symmetry_space_group_name_H-M 'P 1'
_symmetry_Int_Tables_number 1
loop_
_symmetry_equiv_pos_as_xyz
'x,y,z'
loop_
_atom_site_label
_atom_site_fract_x
_atom_site_fract_y
_atom_site_fract_z
_atom_site_occupancy
Cd1 0.006 0.006 0.006 1
Cd2 0.244 0.244 0.244 1
Pt1 0.494 0.494 0.494 1
Tc1 0.756 0.756 0.756 1
```

Formation energy from the elements   0.104 eV per atom
Total moment   0.00 μB/atom
D(E_F)   4.6 states/eV/f.u.

# 2
Computed, not measured: crystalline CdTcPt2 at its relaxed geometry at the PBE level of DFT.

Structure (CIF):
```
data_CdTcPt2
_cell_length_a 5.710
_cell_length_b 5.710
_cell_length_c 5.710
_cell_angle_alpha 151.74
_cell_angle_beta 129.96
_cell_angle_gamma 58.46
_symmetry_space_group_name_H-M 'P 1'
_symmetry_Int_Tables_number 1
loop_
_symmetry_equiv_pos_as_xyz
'x,y,z'
loop_
_atom_site_label
_atom_site_fract_x
_atom_site_fract_y
_atom_site_fract_z
_atom_site_occupancy
Cd1 0.250 0.750 0.500 1
Pt1 0.988 0.988 0.000 1
Pt2 0.743 0.243 0.500 1
Tc1 0.519 0.519 0.000 1
```

Formation energy from the elements   0.062 eV per atom
Total moment   0.28 μB/atom
D(E_F)   3.8 states/eV/f.u.

# 3
Computed, not measured: crystalline Cd2TePt at its relaxed geometry at the PBE level of DFT.

Structure (CIF):
```
data_Cd2TePt
_cell_length_a 3.971
_cell_length_b 4.154
_cell_length_c 5.841
_cell_angle_alpha 71.58
_cell_angle_beta 90.00
_cell_angle_gamma 90.00
_symmetry_space_group_name_H-M 'P 1'
_symmetry_Int_Tables_number 1
loop_
_symmetry_equiv_pos_as_xyz
'x,y,z'
loop_
_atom_site_label
_atom_site_fract_x
_atom_site_fract_y
_atom_site_fract_z
_atom_site_occupancy
Te1 0.000 0.000 0.500 1
Pt1 0.500 0.500 0.500 1
Cd1 0.000 0.000 0.000 1
Cd2 0.500 0.500 0.000 1
```

Electronic total energy   -2.737 eV/atom
Total moment   0.00 μB/atom
D(E_F)   1.0 states/eV/f.u.

# 4
Computed, not measured: crystalline Cd2Te2Pt at its relaxed geometry at the PBE level of DFT.

Structure (CIF):
```
data_Cd2Te2Pt
_cell_length_a 4.062
_cell_length_b 4.062
_cell_length_c 8.881
_cell_angle_alpha 76.78
_cell_angle_beta 76.78
_cell_angle_gamma 90.00
_symmetry_space_group_name_H-M 'P 1'
_symmetry_Int_Tables_number 1
loop_
_symmetry_equiv_pos_as_xyz
'x,y,z'
loop_
_atom_site_label
_atom_site_fract_x
_atom_site_fract_y
_atom_site_fract_z
_atom_site_occupancy
Te1 0.750 0.250 0.500 1
Te2 0.250 0.750 0.500 1
Pt1 0.000 0.000 0.000 1
Cd1 0.420 0.420 0.160 1
Cd2 0.580 0.580 0.840 1
```

Electronic total energy   -2.434 eV/atom
Total moment   0.00 μB/atom
D(E_F)   3.1 states/eV/f.u.

# 5
Computed, not measured: crystalline CdTePt2 at its relaxed geometry at the PBE level of DFT.

Structure (CIF):
```
data_CdTePt2
_cell_length_a 7.174
_cell_length_b 7.174
_cell_length_c 7.174
_cell_angle_alpha 30.48
_cell_angle_beta 30.48
_cell_angle_gamma 30.48
_symmetry_space_group_name_H-M 'P 1'
_symmetry_Int_Tables_number 1
loop_
_symmetry_equiv_pos_as_xyz
'x,y,z'
loop_
_atom_site_label
_atom_site_fract_x
_atom_site_fract_y
_atom_site_fract_z
_atom_site_occupancy
Te1 0.250 0.250 0.250 1
Pt1 0.997 0.997 0.997 1
Pt2 0.503 0.503 0.503 1
Cd1 0.750 0.750 0.750 1
```

Electronic total energy   -4.095 eV/atom
Total moment   0.00 μB/atom
D(E_F)   1.1 states/eV/f.u.

# 6
Computed, not measured: crystalline CdTePt2 at its relaxed geometry at the PBE level of DFT.

Structure (CIF):
```
data_CdTePt2
_cell_length_a 7.268
_cell_length_b 7.268
_cell_length_c 7.268
_cell_angle_alpha 31.29
_cell_angle_beta 31.29
_cell_angle_gamma 31.29
_symmetry_space_group_name_H-M 'P 1'
_symmetry_Int_Tables_number 1
loop_
_symmetry_equiv_pos_as_xyz
'x,y,z'
loop_
_atom_site_label
_atom_site_fract_x
_atom_site_fract_y
_atom_site_fract_z
_atom_site_occupancy
Te1 0.523 0.523 0.523 1
Pt1 0.990 0.990 0.990 1
Pt2 0.255 0.255 0.255 1
Cd1 0.733 0.733 0.733 1
```

Electronic total energy   -4.096 eV/atom
Total moment   0.00 μB/atom
D(E_F)   2.3 states/eV/f.u.